Entry from the Alexandria database: a relaxed structure of Nd2Ga3GeAu4 (PBE).

abc: 4.4705 4.4705 10.4859
angles: 90.00 90.00 90.00
Last column: nearest neighbours and their distance in Å.
Fractional positions:
Au 0.5000 0.0000 0.6310  3 Ga 2.50-2.62, 2 Ge 2.62
Au 0.0000 0.5000 0.3690  3 Ga 2.50-2.62, 2 Ge 2.62
Au 0.0000 0.0000 0.0000  4 Ga 2.62
Au 0.5000 0.5000 0.0000  4 Ga 2.62
Ga 0.5000 0.0000 0.8697  5 Au 2.50-2.62
Ga 0.0000 0.0000 0.5000  4 Au 2.62
Ga 0.0000 0.5000 0.1303  5 Au 2.50-2.62
Ge 0.5000 0.5000 0.5000  4 Au 2.62
Nd 0.0000 0.5000 0.7514  6 Ga 3.40-3.46, 8 Au 3.40-3.43, 2 Ge 3.46
Nd 0.5000 0.0000 0.2486  6 Ga 3.40-3.46, 8 Au 3.40-3.43, 2 Ge 3.46

Calculated values
The calculation puts the formation energy at -0.61 eV per atom. Its space group is No. 115. The calculation puts the density of states at the Fermi level at 5.782 states/eV per cell.



Entry from the Alexandria database: a relaxed structure of NdGa2GeAu (PBE).

abc: 6.4501 6.4501 7.5148
angles: 115.41 115.41 90.00
Last column: nearest neighbours and their distance in Å.
Fractional positions:
Au 0.5124 0.5124 0.0248  4 Ga 2.51
Au 0.0124 0.0124 0.0248  4 Ga 2.51
Ga 0.8321 0.6209 0.9530  2 Au 2.51, 1 Ga 2.63, 1 Ge 2.69
Ga 0.3321 0.8321 0.9530  2 Au 2.51, 1 Ga 2.63, 1 Ge 2.69
Ga 0.1209 0.3321 0.9530  2 Au 2.51, 1 Ga 2.63, 1 Ge 2.69
Ga 0.6209 0.1209 0.9530  2 Au 2.51, 1 Ga 2.63, 1 Ge 2.69
Ge 0.7805 0.2805 0.5610  2 Ga 2.69
Ge 0.2805 0.7805 0.5610  2 Ga 2.69
Nd 0.7543 0.7543 0.5087  2 Au 2.89-3.08
Nd 0.2543 0.2543 0.5087  2 Au 2.89-3.08

Calculated values
The calculation puts the formation energy at -0.25 eV per atom. Its space group is No. 108. The calculation puts the density of states at the Fermi level at 7.182 states/eV per cell.



Entry from the Alexandria database: a relaxed structure of NpGaGeAu (PBE).

abc: 4.8700 4.8700 4.8700
angles: 60.00 60.00 60.00
Last column: nearest neighbours and their distance in Å.
Fractional positions:
Au 0.7500 0.7500 0.7500  4 Ga 2.98, 4 Np 2.98
Ge 0.2500 0.2500 0.2500  4 Np 2.98, 4 Ga 2.98
Np 0.0000 0.0000 0.0000  4 Au 2.98, 4 Ge 2.98
Ga 0.5000 0.5000 0.5000  4 Ge 2.98, 4 Au 2.98

Calculated values
The calculation puts the formation energy at -0.08 eV per atom. Its space group is No. 216. The calculation puts the density of states at the Fermi level at 10.001 states/eV per cell.



Entry from the Alexandria database: a relaxed structure of PmGa2GeAu (PBE).

abc: 6.4475 6.4475 7.4559
angles: 115.62 115.62 90.00
Last column: nearest neighbours and their distance in Å.
Fractional positions:
Ge 0.2766 0.7766 0.5532  2 Ga 2.71
Ge 0.7766 0.2766 0.5532  2 Ga 2.71
Au 0.0126 0.0126 0.0253  4 Ga 2.51
Au 0.5126 0.5126 0.0253  4 Ga 2.51
Ga 0.8345 0.6209 0.9554  2 Au 2.51, 1 Ga 2.61, 1 Ge 2.71
Ga 0.6209 0.1209 0.9554  2 Au 2.51, 1 Ga 2.61, 1 Ge 2.71
Ga 0.1209 0.3345 0.9554  2 Au 2.51, 1 Ga 2.61, 1 Ge 2.71
Ga 0.3345 0.8345 0.9554  2 Au 2.51, 1 Ga 2.61, 1 Ge 2.71
Pm 0.2556 0.2556 0.5112  2 Au 2.87-3.03
Pm 0.7556 0.7556 0.5112  2 Au 2.87-3.03

Calculated values
The calculation puts the formation energy at -0.24 eV per atom. Its space group is No. 108. The calculation puts the density of states at the Fermi level at 7.477 states/eV per cell.



Spin magnetization (computed, μB/cell): 0.000; 0.000; 3.950; 0.000
E (computed, eV per atom): -4.248; -3.988; -6.045; -3.979